Computed, not measured: AlTl2CdTe4 after structural relaxation at the PBE level of DFT.

The calculation puts the energy at -3.0655 eV per atom. Its density of states at the Fermi level is 7.4 states/eV/f.u. For the total magnetic moment, the calculation gives 0.000 μB/f.u.

The structure in POSCAR format:
```
AlTl2CdTe4
1.0
-4.180 4.180 3.660
4.180 -4.180 3.660
4.180 4.180 -3.660
Al Tl Cd Te
1 2 1 4
Direct
0.000 0.000 0.000
0.000 0.500 0.500
0.500 0.000 0.500
0.500 0.500 0.000
0.050 0.403 0.000
0.403 0.050 0.000
0.597 0.597 0.647
0.950 0.950 0.353
```


Computed, not measured: Pm6SnTe5 after structural relaxation at the PBE level of DFT.

The calculation puts the energy at -5.3579 eV per atom. Its density of states at the Fermi level is 6.6 states/eV/f.u. For the total magnetic moment, the calculation gives 0.000 μB/f.u.

The structure in POSCAR format:
```
Pm6SnTe5
1.0
3.880 -6.706 0.000
3.880 6.706 0.000
-2.581 0.000 7.334
Pm Sn Te
6 1 5
Direct
0.081 0.407 0.744
0.243 0.243 0.255
0.407 0.081 0.744
0.593 0.919 0.256
0.757 0.757 0.745
0.919 0.593 0.256
0.000 0.000 0.500
0.169 0.831 0.000
0.334 0.666 0.500
0.500 0.500 0.000
0.666 0.334 0.500
0.831 0.169 0.000
```


Computed, not measured: AlCrSe2 after structural relaxation at the PBE level of DFT.

The calculation puts the energy at -5.0180 eV per atom. The energy above the most stable polymorph in this dataset comes out at 43.4 kJ per mole of atoms. Its density of states at the Fermi level is 2.3 states/eV/f.u. For the total magnetic moment, the calculation gives 0.867 μB/f.u.

The structure in POSCAR format:
```
AlCrSe2
1.0
3.079 0.000 0.000
0.000 3.079 0.000
0.000 0.000 7.113
Al Cr Se
1 1 2
Direct
0.000 0.000 0.000
0.000 0.000 0.500
0.500 0.500 0.293
0.500 0.500 0.707
```


What is the energy in the first record?
-3.0655 eV per atom


Number 1 is which compound?
AlTl2CdTe4